[1]
This record from the Alexandria database describes a relaxed structure of YZr4P. The functional is GGA-PBEsol.

For the mass density, the calculation gives 6.02 Mg/m³. Its space group is F-43m (216). Its density of states at the Fermi level is 1.49 states/eV/atom. The value obtained for the energy of formation from the pure elements is 0.35 eV/atom.

Lattice parameters (Å, degrees): 5.7385 5.7385 5.7385 60.00 60.00 60.00
Closest atoms and distances in Å follow each position.
Element x y z (fractional)
P1 0.7500 0.7500 0.7500  12 Zr 3.37, 4 Y 3.51
Y1 0.0000 0.0000 0.0000  12 Zr 3.36, 4 P 3.51
Zr1 0.3722 0.3722 0.3722  6 Zr 2.81-2.93
Zr2 0.3722 0.3722 0.8833  6 Zr 2.81-2.93
Zr3 0.8833 0.3722 0.3722  6 Zr 2.81-2.93
Zr4 0.3722 0.8833 0.3722  6 Zr 2.81-2.93

=====

[2]
This record from the Alexandria database describes a relaxed structure of Na4Bi2O5. The functional is GGA-PBEsol.

The value obtained for the formation energy (no corrections) is -1.321 eV per atom. For the mass density, the calculation gives 5.27 Mg/m³. Its space group is Pnna (52). Its density of states at the Fermi level is 0.00 states/eV/atom. For the relative energy among the computed polymorphs, the calculation gives 66 meV/atom.

Lattice parameters (Å, degrees): 4.8455 10.0969 15.2068 90.00 90.00 90.00
Closest atoms and distances in Å follow each position.
Element x y z (fractional)
Na1 0.5215 0.8540 0.0166  5 O 2.27-2.48
Na2 0.9785 0.6460 0.0166  5 O 2.27-2.48
Na3 0.2500 0.7500 0.1675  4 O 2.48-2.50
Na4 0.5000 0.0028 0.2500  2 O 2.15
Na5 0.0000 0.4972 0.2500  2 O 2.15
Na6 0.7500 0.7500 0.3325  4 O 2.48-2.50
Na7 0.0215 0.6460 0.4834  5 O 2.27-2.48
Na8 0.4785 0.8540 0.4834  5 O 2.27-2.48
Na9 0.5215 0.1460 0.5166  5 O 2.27-2.48
Na10 0.9785 0.3540 0.5166  5 O 2.27-2.48
Na11 0.2500 0.2500 0.6675  4 O 2.48-2.50
Na12 0.0000 0.5028 0.7500  2 O 2.15
Na13 0.5000 0.9972 0.7500  2 O 2.15
Na14 0.7500 0.2500 0.8325  4 O 2.48-2.50
Na15 0.0215 0.3540 0.9834  5 O 2.27-2.48
Na16 0.4785 0.1460 0.9834  5 O 2.27-2.48
Bi1 0.5202 0.4577 0.1146  2 O 2.10-2.12
Bi2 0.9798 0.0423 0.1146  2 O 2.10-2.12
Bi3 0.0202 0.0423 0.3854  2 O 2.10-2.12
Bi4 0.4798 0.4577 0.3854  2 O 2.10-2.12
Bi5 0.5202 0.5423 0.6146  2 O 2.10-2.12
Bi6 0.9798 0.9577 0.6146  2 O 2.10-2.12
Bi7 0.0202 0.9577 0.8854  2 O 2.10-2.12
Bi8 0.4798 0.5423 0.8854  2 O 2.10-2.12
O1 0.0260 0.8666 0.0426  1 Bi 2.10, 1 Na 2.27
O2 0.4740 0.6334 0.0426  1 Bi 2.10, 1 Na 2.27
O3 0.9572 0.4680 0.1107  1 Bi 2.12, 3 Na 2.15-2.30
O4 0.5428 0.0320 0.1107  1 Bi 2.12, 3 Na 2.15-2.30
O5 0.0000 0.9269 0.2500  2 Bi 2.37, 4 Na 2.50-2.54
O6 0.5000 0.5731 0.2500  2 Bi 2.37, 4 Na 2.50-2.54
O7 0.0428 0.4680 0.3893  1 Bi 2.12, 3 Na 2.15-2.30
O8 0.4572 0.0320 0.3893  1 Bi 2.12, 3 Na 2.15-2.30
O9 0.5260 0.6334 0.4574  1 Bi 2.10, 1 Na 2.27
O10 0.9740 0.8666 0.4574  1 Bi 2.10, 1 Na 2.27
O11 0.0260 0.1334 0.5426  1 Bi 2.10, 1 Na 2.27
O12 0.4740 0.3666 0.5426  1 Bi 2.10, 1 Na 2.27
O13 0.5428 0.9680 0.6107  1 Bi 2.12, 3 Na 2.15-2.30
O14 0.9572 0.5320 0.6107  1 Bi 2.12, 3 Na 2.15-2.30
O15 0.0000 0.0731 0.7500  2 Bi 2.37, 4 Na 2.50-2.54
O16 0.5000 0.4269 0.7500  2 Bi 2.37, 4 Na 2.50-2.54
O17 0.0428 0.5320 0.8893  1 Bi 2.12, 3 Na 2.15-2.30
O18 0.4572 0.9680 0.8893  1 Bi 2.12, 3 Na 2.15-2.30
O19 0.5260 0.3666 0.9574  1 Bi 2.10, 1 Na 2.27
O20 0.9740 0.1334 0.9574  1 Bi 2.10, 1 Na 2.27

=====

[3]
This record from the Alexandria database describes a relaxed structure of AlSb8. The functional is GGA-PBEsol.

The value obtained for the formation energy (no corrections) is 0.155 eV per atom. For the mass density, the calculation gives 7.19 Mg/m³. Its space group is I4/mmm (139). Its density of states at the Fermi level is 0.50 states/eV/atom.

Lattice parameters (Å, degrees): 3.7295 8.0935 8.0935 86.96 76.68 76.68
Closest atoms and distances in Å follow each position.
Element x y z (fractional)
Sb1 0.6443 0.0000 0.7113  2 Al 2.94, 6 Sb 3.22-3.28
Sb2 0.3557 0.0000 0.2887  2 Al 2.94, 6 Sb 3.22-3.28
Sb3 0.3388 0.6612 0.6612  8 Sb 3.15-3.28
Sb4 0.6443 0.7113 0.0000  2 Al 2.94, 6 Sb 3.22-3.28
Sb5 0.0000 0.6612 0.3388  8 Sb 3.15-3.28
Sb6 0.3557 0.2887 0.0000  2 Al 2.94, 6 Sb 3.22-3.28
Sb7 0.6612 0.3388 0.3388  8 Sb 3.15-3.28
Sb8 0.0000 0.3388 0.6612  8 Sb 3.15-3.28
Al1 0.0000 0.0000 0.0000  8 Sb 2.94

=====

[4]
This record from the Alexandria database describes a relaxed structure of CuP2O2. The functional is GGA-PBEsol.

The value obtained for the formation energy (no corrections) is -0.001 eV per atom. For the mass density, the calculation gives 4.82 Mg/m³. Its space group is I4/mmm (139). Its density of states at the Fermi level is 0.27 states/eV/atom.

Lattice parameters (Å, degrees): 3.2511 3.2511 5.6288 106.79 106.79 90.00
Closest atoms and distances in Å follow each position.
Element x y z (fractional)
P1 0.3603 0.3603 0.7207  4 O 1.98
P2 0.6397 0.6397 0.2793  4 O 1.98
O1 0.2500 0.7500 0.5000  4 P 1.98
O2 0.7500 0.2500 0.5000  4 P 1.98
Cu1 0.0000 0.0000 0.0000  8 P 2.71